# 1
Ce2Dy2Pt15 after structural relaxation, computed with PBE-GGA.

Calculated values
- energy relative to the elements (meV/atom) = -697.9

Cell: 7.116 7.116 7.116 Å, 81.96 81.96 81.96°
Last column: magnetic moment on the atom in μB.
Element x y z (fractional)
Ce: 0.100 0.100 0.100  0.38
Ce: 0.900 0.900 0.900  0.38
Dy: 0.366 0.366 0.366  0.00
Dy: 0.634 0.634 0.634  0.00
Pt: 0.500 0.000 0.000  -0.01
Pt: 0.000 0.000 0.500  -0.01
Pt: 0.000 0.500 0.000  -0.01
Pt: 0.000 0.676 0.324  0.00
Pt: 0.676 0.324 0.000  0.00
Pt: 0.324 0.000 0.676  0.00
Pt: 0.324 0.676 0.000  0.00
Pt: 0.676 0.000 0.324  0.00
Pt: 0.000 0.324 0.676  0.00
Pt: 0.167 0.656 0.656  -0.01
Pt: 0.656 0.656 0.167  -0.01
Pt: 0.656 0.167 0.656  -0.01
Pt: 0.833 0.344 0.344  -0.01
Pt: 0.344 0.344 0.833  -0.01
Pt: 0.344 0.833 0.344  -0.01


# 2
Er2InGe after structural relaxation, computed with PBE-GGA.

Calculated values
- energy relative to the elements (meV/atom) = -500.2

Cell: 4.125 4.822 4.822 Å, 90.00 90.00 90.00°
Element x y z (fractional)
Ge: 0.500 0.500 0.500
In: 0.500 0.000 0.000
Er: 0.000 0.000 0.500
Er: 0.000 0.500 0.000


# 3
SrPmTlSb after structural relaxation, computed with PBE-GGA.

Calculated values
- formation energy from raw total energies (meV per atom) = -530

Cell: 5.608 5.608 5.608 Å, 60.00 60.00 60.00°
Element x y z (fractional)
Sb: 0.500 0.500 0.500
Tl: 0.000 0.000 0.000
Sr: 0.750 0.750 0.750
Pm: 0.250 0.250 0.250


# 4
Y4Ho3Ni4 after structural relaxation, computed with PBE-GGA.

Calculated values
- energy relative to the elements (meV/atom) = -219.4

Cell: 3.785 9.044 8.975 Å, 120.25 102.17 90.00°
Element x y z (fractional)
Y: 0.341 0.155 0.681
Y: 0.659 0.474 0.319
Y: 0.659 0.845 0.319
Y: 0.341 0.526 0.681
Ho: 0.111 0.111 0.221
Ho: 0.889 0.889 0.779
Ho: 0.000 0.500 0.000
Ni: 0.240 0.740 0.481
Ni: 0.760 0.260 0.519
Ni: 0.500 0.854 0.000
Ni: 0.500 0.146 0.000


no.,calculated density (g/cm3)
1,16.7
2,9.0
3,7.4
4,7.0